First-principles (PBE) data for crystalline YBeOs4 at its relaxed geometry, as listed in the Alexandria database.

Cell lengths 7.3912, 7.3912, 7.3912 Å; angles 90.00, 90.00, 90.00 degrees
Space group F-43m (No. 216)
Asymmetric unit:
Y 0.0000 0.0000 0.0000 [4 per cell]
Be 0.2500 0.2500 0.7500 [4 per cell]
Os 0.1244 0.1244 0.3756 [16 per cell]

## Properties
Magnetic moment = 0.0000 μB/atom
N(E_F) = 1.19 states/eV/atom
Raw total energy = -8.873 eV per atom
Energy relative to the elements = 0.31 eV per atom

First-principles (PBE) data for crystalline SrAuBr3 at its relaxed geometry, as listed in the Alexandria database.

Cell lengths 7.7589, 8.0447, 11.8730 Å; angles 90.00, 116.74, 90.00 degrees
Space group P2_1/c (No. 14)
Asymmetric unit:
Sr 0.1524 0.1328 0.2066 [4 per cell]
Au 0.3393 0.6449 0.3514 [4 per cell]
Br 0.1073 0.1700 0.9301 [4 per cell]
Br 0.2102 0.6249 0.9252 [4 per cell]
Br 0.4683 0.0750 0.7684 [4 per cell]

## Properties
Magnetic moment = 0.0000 μB/atom
N(E_F) = 0.00 states/eV/atom
Formation energy from raw total energies = -1.274 eV per atom
Raw total energy = -3.269 eV per atom
Distance to the lowest polymorph of the same formula = 0 meV per atom

First-principles (PBE) data for crystalline Cu2BiF6 at its relaxed geometry, as listed in the Alexandria database.

Cell lengths 11.1677, 4.0598, 7.3886 Å; angles 90.00, 127.14, 90.00 degrees
Space group C2/m (No. 12)
Asymmetric unit:
Cu 0.1803 0.0000 0.1274 [4 per cell]
Bi 0.0000 0.0000 0.5000 [2 per cell]
F 0.0025 0.0000 0.1898 [4 per cell]
F 0.1341 0.5000 0.5521 [4 per cell]
F 0.2370 0.5000 0.1593 [4 per cell]

## Properties
Magnetic moment = 0.1111 μB/atom
N(E_F) = 0.37 states/eV/atom
Formation energy from raw total energies = -1.819 eV per atom
Raw total energy = -4.408 eV per atom

First-principles (PBE) data for crystalline NbBi3Se at its relaxed geometry, as listed in the Alexandria database.

Cell lengths 5.4709, 5.4709, 5.4709 Å; angles 90.00, 90.00, 90.00 degrees
Space group Pm-3m (No. 221)
Asymmetric unit:
Nb 0.0000 0.0000 0.0000 [1 per cell]
Bi 0.0000 0.5000 0.5000 [3 per cell]
Se 0.5000 0.5000 0.5000 [1 per cell]

## Properties
Magnetic moment = 0.5515 μB/atom
N(E_F) = 0.83 states/eV/atom
Formation energy from raw total energies = 1.017 eV per atom
Raw total energy = -4.022 eV per atom
Distance to the lowest polymorph of the same formula = 596 meV per atom

First-principles (PBE) data for crystalline KNaZn2Pt at its relaxed geometry, as listed in the Alexandria database.

Cell lengths 4.9683, 4.9683, 5.4290 Å; angles 90.00, 90.00, 90.00 degrees
Space group P4/mmm (No. 123)
Asymmetric unit:
K 0.0000 0.0000 0.0000 [1 per cell]
Na 0.5000 0.5000 0.0000 [1 per cell]
Zn 0.0000 0.5000 0.5000 [2 per cell]
Pt 0.5000 0.5000 0.5000 [1 per cell]

## Properties
Magnetic moment = 0.0000 μB/atom
N(E_F) = 0.46 states/eV/atom
Raw total energy = -2.403 eV per atom
Energy relative to the elements = -0.20 eV per atom

First-principles (PBE) data for crystalline ErSiPt at its relaxed geometry, as listed in the Alexandria database.

Cell lengths 6.9485, 4.2719, 7.4407 Å; angles 90.00, 90.00, 90.00 degrees
Space group Pnma (No. 62)
Asymmetric unit:
Er 0.0036 0.2500 0.2007 [4 per cell]
Si 0.1871 0.2500 0.5880 [4 per cell]
Pt 0.2006 0.7500 0.4144 [4 per cell]

## Properties
Magnetic moment = 0.0000 μB/atom
N(E_F) = 0.47 states/eV/atom
Formation energy from raw total energies = -1.215 eV per atom
Raw total energy = -6.557 eV per atom

First-principles (PBE) data for crystalline Tl2RuPb at its relaxed geometry, as listed in the Alexandria database.

Cell lengths 3.7866, 4.8358, 5.7280 Å; angles 90.00, 108.91, 90.00 degrees
Space group P2/m (No. 10)
Asymmetric unit:
Tl 0.1339 0.0000 0.2791 [2 per cell]
Ru 0.5000 0.5000 0.5000 [1 per cell]
Pb 0.5000 0.5000 0.0000 [1 per cell]

## Properties
Magnetic moment = 0.0276 μB/atom
N(E_F) = 0.86 states/eV/atom
Raw total energy = -3.894 eV per atom
Distance to the lowest polymorph of the same formula = 241 meV per atom
Energy relative to the elements = 0.54 eV per atom

First-principles (PBE) data for crystalline Na3Hf2ScTe6 at its relaxed geometry, as listed in the Alexandria database.

Cell lengths 7.1504, 12.3854, 8.0789 Å; angles 90.00, 107.17, 90.00 degrees
Space group C2/m (No. 12)
Asymmetric unit:
Na 0.0000 0.0000 0.0000 [2 per cell]
Na 0.0000 0.3343 0.0000 [4 per cell]
Hf 0.0000 0.1667 0.5000 [4 per cell]
Sc 0.0000 0.5000 0.5000 [2 per cell]
Te 0.2374 0.0000 0.7220 [4 per cell]
Te 0.2424 0.3317 0.7221 [8 per cell]

## Properties
Magnetic moment = 0.0000 μB/atom
N(E_F) = 0.46 states/eV/atom
Formation energy from raw total energies = -0.939 eV per atom
Raw total energy = -5.026 eV per atom

Look up the magnetic moment of the eighth one. 0.0000 μB/atom

What did the eighth record say?
First-principles (PBE) data for crystalline Na3Hf2ScTe6 at its relaxed geometry, as listed in the Alexandria database.

Cell lengths 7.1504, 12.3854, 8.0789 Å; angles 90.00, 107.17, 90.00 degrees
Space group C2/m (No. 12)
Asymmetric unit:
Na 0.0000 0.0000 0.0000 [2 per cell]
Na 0.0000 0.3343 0.0000 [4 per cell]
Hf 0.0000 0.1667 0.5000 [4 per cell]
Sc 0.0000 0.5000 0.5000 [2 per cell]
Te 0.2374 0.0000 0.7220 [4 per cell]
Te 0.2424 0.3317 0.7221 [8 per cell]

## Properties
Magnetic moment = 0.0000 μB/atom
N(E_F) = 0.46 states/eV/atom
Formation energy from raw total energies = -0.939 eV per atom
Raw total energy = -5.026 eV per atom